# CoPd2Rh (PBE, optimized geometry)
data_CoPd2Rh
_symmetry_space_group_name_H-M 'I -4 2 d'
_symmetry_Int_Tables_number 122
_symmetry_space_group_name_Hall 'I -4 2bw'
_cell_length_a 6.9068
_cell_length_b 6.9068
_cell_length_c 5.1970
_cell_angle_alpha 90.00
_cell_angle_beta 90.00
_cell_angle_gamma 90.00
loop_
_atom_site_label
_atom_site_fract_x
_atom_site_fract_y
_atom_site_fract_z
Co1 0.0000 0.0000 0.0000
Pd1 0.2237 0.2500 0.1250
Rh1 0.0000 0.0000 0.5000
# Distance to the lowest polymorph of the same formula in meV/atom: 417
# ρ in g/cm³: 10.0
# M_tot in μB/atom: 0.804
# E_form in eV per atom: 0.52


# In3Pd (PBE, optimized geometry)
data_In3Pd
_symmetry_space_group_name_H-M 'I m m 2'
_symmetry_Int_Tables_number 44
_cell_length_a 3.2521
_cell_length_b 8.5697
_cell_length_c 6.5451
_cell_angle_alpha 90.00
_cell_angle_beta 90.00
_cell_angle_gamma 90.00
loop_
_symmetry_equiv_pos_as_xyz
'x,y,z'
'-x,-y,z'
'-x,y,z'
'x,-y,z'
'x+1/2,y+1/2,z+1/2'
'-x+1/2,-y+1/2,z+1/2'
'-x+1/2,y+1/2,z+1/2'
'x+1/2,-y+1/2,z+1/2'
loop_
_atom_site_label
_atom_site_fract_x
_atom_site_fract_y
_atom_site_fract_z
In1 0.0000 0.0000 0.0000
In2 0.0000 0.1877 0.6026
Pd1 0.0000 0.5000 0.8421
# ρ in g/cm³: 8.2
# M_tot in μB/atom: 0.000
# E_form in eV per atom: -0.21


# CaMg2Ta (PBE, optimized geometry)
data_CaMg2Ta
_symmetry_space_group_name_H-M 'P m m m'
_symmetry_Int_Tables_number 47
_cell_length_a 3.0813
_cell_length_b 4.3796
_cell_length_c 6.8833
_cell_angle_alpha 90.00
_cell_angle_beta 90.00
_cell_angle_gamma 90.00
loop_
_symmetry_equiv_pos_as_xyz
'x,y,z'
'-x,-y,-z'
'-x,-y,z'
'x,y,-z'
'x,-y,-z'
'-x,y,z'
'-x,y,-z'
'x,-y,z'
loop_
_atom_site_label
_atom_site_fract_x
_atom_site_fract_y
_atom_site_fract_z
Ca1 0.0000 0.0000 0.0000
Mg1 0.5000 0.5000 0.2881
Ta1 0.0000 0.0000 0.5000
# ρ in g/cm³: 4.8
# M_tot in μB/atom: 0.000
# E_form in eV per atom: 0.37


The records above yield calculated total energy values of -5.693; -3.558; -3.890 eV per atom, respectively.